No. 1
The following is a SCAN calculation of SrIrC2 at its PBEsol-relaxed geometry, from Alexandria via LeMat-Bulk.

Its space group is Fm-3m, No. 225. The value obtained for the formation energy is 1589 meV per atom. As for the spin magnetization: 0.000 μB per atom.

a = 5.823 Å, b = 5.823 Å, c = 5.823 Å
α = 90.00°, β = 90.00°, γ = 90.00°
Fractional positions:
Sr1 0.000 0.000 0.000
Sr2 0.000 0.500 0.500
Sr3 0.500 0.000 0.500
Sr4 0.500 0.500 0.000
Ir1 0.000 0.000 0.500
Ir2 0.000 0.500 0.000
Ir3 0.500 0.000 0.000
Ir4 0.500 0.500 0.500
C1 0.250 0.250 0.250
C2 0.250 0.250 0.750
C3 0.250 0.750 0.250
C4 0.250 0.750 0.750
C5 0.750 0.250 0.250
C6 0.750 0.250 0.750
C7 0.750 0.750 0.250
C8 0.750 0.750 0.750

No. 2
The following is a SCAN calculation of CrAgCl2 at its PBEsol-relaxed geometry, from Alexandria via LeMat-Bulk.

Its space group is Pmmm, No. 47. As for the uncorrected formation energy: -0.4474 eV per atom. The relative energy among the computed polymorphs comes out at 0.031 eV/atom. As for the spin magnetization: 1.210 μB per atom.

a = 3.587 Å, b = 3.765 Å, c = 5.753 Å
α = 90.00°, β = 90.00°, γ = 90.00°
Fractional positions:
Cr1 0.000 0.000 0.000
Ag1 0.000 0.500 0.500
Cl1 0.500 0.000 0.500
Cl2 0.500 0.500 0.000

| no. | DOS(E_F) (states/eV/cell) | DFT total energy (eV/atom) |
| --- | --- | --- |
| 1 | 4.8 | -26.80 |
| 2 | 0.6 | -16.87 |